Li4GeBiPt2 after structural relaxation, computed with PBE.

Lattice parameters (Å, degrees): 4.3504 4.3504 6.5918 90.00 90.00 90.00
Element x y z (fractional)
Li 0.0000 0.0000 0.0000
Li 0.0000 0.5000 0.7154
Li 0.5000 0.0000 0.2846
Li 0.5000 0.5000 0.5000
Ge 0.0000 0.0000 0.5000
Bi 0.5000 0.5000 0.0000
Pt 0.0000 0.5000 0.2871
Pt 0.5000 0.0000 0.7130

Results
E (eV/atom): -4.1402
Symmetry: P-4m2, No. 115

LuGeBi2 after structural relaxation, computed with PBE.

Lattice parameters (Å, degrees): 7.5961 7.5961 7.5961 90.00 90.00 90.00
Element x y z (fractional)
Lu 0.0000 0.0000 0.0000
Lu 0.0000 0.5000 0.5000
Lu 0.5000 0.0000 0.5000
Lu 0.5000 0.5000 0.0000
Ge 0.2500 0.2500 0.7500
Ge 0.2500 0.7500 0.2500
Ge 0.7500 0.2500 0.2500
Ge 0.7500 0.7500 0.7500
Bi 0.0000 0.0000 0.5000
Bi 0.0000 0.5000 0.0000
Bi 0.2500 0.2500 0.2500
Bi 0.2500 0.7500 0.7500
Bi 0.5000 0.0000 0.0000
Bi 0.5000 0.5000 0.5000
Bi 0.7500 0.2500 0.7500
Bi 0.7500 0.7500 0.2500

Results
E (eV/atom): -4.3219
Symmetry: F-43m, No. 216

MgReGeBi after structural relaxation, computed with PBE.

Lattice parameters (Å, degrees): 6.6969 6.6969 6.6969 90.00 90.00 90.00
Element x y z (fractional)
Mg 0.0000 0.0000 0.0000
Mg 0.0000 0.5000 0.5000
Mg 0.5000 0.0000 0.5000
Mg 0.5000 0.5000 0.0000
Re 0.0000 0.0000 0.5000
Re 0.0000 0.5000 0.0000
Re 0.5000 0.0000 0.0000
Re 0.5000 0.5000 0.5000
Ge 0.2500 0.2500 0.7500
Ge 0.2500 0.7500 0.2500
Ge 0.7500 0.2500 0.2500
Ge 0.7500 0.7500 0.7500
Bi 0.2500 0.2500 0.2500
Bi 0.2500 0.7500 0.7500
Bi 0.7500 0.2500 0.7500
Bi 0.7500 0.7500 0.2500

Results
Distance to the lowest polymorph of the same formula (meV per atom): 0
Symmetry: F-43m, No. 216

MgTcGeBi after structural relaxation, computed with PBE.

Lattice parameters (Å, degrees): 6.7081 6.7081 6.7081 90.00 90.00 90.00
Element x y z (fractional)
Mg 0.0000 0.0000 0.0000
Mg 0.0000 0.5000 0.5000
Mg 0.5000 0.0000 0.5000
Mg 0.5000 0.5000 0.0000
Tc 0.0000 0.0000 0.5000
Tc 0.0000 0.5000 0.0000
Tc 0.5000 0.0000 0.0000
Tc 0.5000 0.5000 0.5000
Ge 0.2500 0.2500 0.7500
Ge 0.2500 0.7500 0.2500
Ge 0.7500 0.2500 0.2500
Ge 0.7500 0.7500 0.7500
Bi 0.2500 0.2500 0.2500
Bi 0.2500 0.7500 0.7500
Bi 0.7500 0.2500 0.7500
Bi 0.7500 0.7500 0.2500

Results
Distance to the lowest polymorph of the same formula (meV per atom): 0
Symmetry: F-43m, No. 216

GeBiMo after structural relaxation, computed with PBE.

Lattice parameters (Å, degrees): 6.5593 6.5593 6.5593 90.00 90.00 90.00
Element x y z (fractional)
Ge 0.0000 0.0000 0.0000
Ge 0.0000 0.5000 0.5000
Ge 0.5000 0.0000 0.5000
Ge 0.5000 0.5000 0.0000
Bi 0.0000 0.0000 0.5000
Bi 0.0000 0.5000 0.0000
Bi 0.5000 0.0000 0.0000
Bi 0.5000 0.5000 0.5000
Mo 0.2500 0.2500 0.7500
Mo 0.2500 0.7500 0.2500
Mo 0.7500 0.2500 0.2500
Mo 0.7500 0.7500 0.7500

Results
Distance to the lowest polymorph of the same formula (meV per atom): 0
Symmetry: F-43m, No. 216

Nb4GeBiN2 after structural relaxation, computed with PBE.

Lattice parameters (Å, degrees): 3.3264 3.3264 12.9318 90.00 90.00 120.00
Element x y z (fractional)
Nb 0.0000 0.0000 0.1469
Nb 0.0000 0.0000 0.8531
Nb 0.6667 0.3333 0.3163
Nb 0.6667 0.3333 0.6837
Ge 0.6667 0.3333 0.0000
Bi 0.0000 0.0000 0.5000
N 0.3333 0.6667 0.2365
N 0.3333 0.6667 0.7635

Results
E (eV/atom): -8.6957
Symmetry: P-6m2, No. 187

GeBiW4N2 after structural relaxation, computed with PBE.

Lattice parameters (Å, degrees): 3.0571 3.0571 14.4523 90.00 90.00 120.00
Element x y z (fractional)
Ge 0.0000 0.0000 0.0000
Bi 0.3333 0.6667 0.5000
W 0.0000 0.0000 0.3112
W 0.0000 0.0000 0.6888
W 0.3333 0.6667 0.1379
W 0.3333 0.6667 0.8621
N 0.6667 0.3333 0.2270
N 0.6667 0.3333 0.7730

Results
E (eV/atom): -9.1348
Symmetry: P-6m2, No. 187

Nd5Ge2Bi2 after structural relaxation, computed with PBE.

Lattice parameters (Å, degrees): 8.9622 8.9622 8.2827 90.00 90.00 54.90
Element x y z (fractional)
Nd 0.0000 0.0000 0.0000
Nd 0.0409 0.7075 0.6654
Nd 0.2075 0.5409 0.1654
Nd 0.2925 0.9591 0.6654
Nd 0.4591 0.7925 0.1654
Nd 0.5000 0.5000 0.5000
Nd 0.5409 0.2075 0.8346
Nd 0.7075 0.0409 0.3346
Nd 0.7925 0.4591 0.8346
Nd 0.9591 0.2925 0.3346
Ge 0.1359 0.8641 0.3646
Ge 0.3641 0.6359 0.8646
Ge 0.6359 0.3641 0.1354
Ge 0.8641 0.1359 0.6354
Bi 0.2065 0.2065 0.0000
Bi 0.2935 0.2935 0.5000
Bi 0.7065 0.7065 0.5000
Bi 0.7935 0.7935 0.0000

Results
E (eV/atom): -5.4392
Symmetry: Cmce, No. 64

Nd2Sc2GeBi after structural relaxation, computed with PBE.

Lattice parameters (Å, degrees): 4.4385 4.4385 16.3933 90.00 90.00 90.00
Element x y z (fractional)
Nd 0.0000 0.0000 0.0000
Nd 0.0000 0.0000 0.3546
Nd 0.5000 0.5000 0.5000
Nd 0.5000 0.5000 0.8546
Sc 0.0000 0.5000 0.1602
Sc 0.0000 0.5000 0.6602
Sc 0.5000 0.0000 0.1602
Sc 0.5000 0.0000 0.6602
Ge 0.0000 0.0000 0.5473
Ge 0.5000 0.5000 0.0473
Bi 0.0000 0.0000 0.7966
Bi 0.5000 0.5000 0.2966

Results
E (eV/atom): -5.8370
Symmetry: I4mm, No. 107

GeBiOs after structural relaxation, computed with PBE.

Lattice parameters (Å, degrees): 6.3652 6.3652 6.3652 90.00 90.00 90.00
Element x y z (fractional)
Ge 0.0000 0.0000 0.0000
Ge 0.0000 0.5000 0.5000
Ge 0.5000 0.0000 0.5000
Ge 0.5000 0.5000 0.0000
Bi 0.0000 0.0000 0.5000
Bi 0.0000 0.5000 0.0000
Bi 0.5000 0.0000 0.0000
Bi 0.5000 0.5000 0.5000
Os 0.2500 0.2500 0.7500
Os 0.2500 0.7500 0.2500
Os 0.7500 0.2500 0.2500
Os 0.7500 0.7500 0.7500

Results
Distance to the lowest polymorph of the same formula (meV per atom): 0
Symmetry: F-43m, No. 216

Ge2Bi2Pd3 after structural relaxation, computed with PBE.

Lattice parameters (Å, degrees): 8.1605 8.1605 8.1605 33.45 33.45 33.45
Element x y z (fractional)
Ge 0.0000 0.0000 0.0000
Ge 0.4977 0.4977 0.4977
Bi 0.2436 0.2436 0.2436
Bi 0.7518 0.7518 0.7518
Pd 0.3724 0.3724 0.3724
Pd 0.6274 0.6274 0.6274
Pd 0.8750 0.8750 0.8750

Results
E (eV/atom): -4.8357
Symmetry: R3m, No. 160

Pm5Ge2Bi2 after structural relaxation, computed with PBE.

Lattice parameters (Å, degrees): 8.8969 8.8969 8.2217 90.00 90.00 54.92
Element x y z (fractional)
Pm 0.0000 0.0000 0.0000
Pm 0.0404 0.7090 0.6646
Pm 0.2090 0.5404 0.1646
Pm 0.2910 0.9596 0.6646
Pm 0.4596 0.7910 0.1646
Pm 0.5000 0.5000 0.5000
Pm 0.5404 0.2090 0.8354
Pm 0.7090 0.0404 0.3355
Pm 0.7910 0.4596 0.8354
Pm 0.9596 0.2910 0.3355
Ge 0.1374 0.8626 0.3633
Ge 0.3626 0.6374 0.8633
Ge 0.6374 0.3626 0.1367
Ge 0.8626 0.1374 0.6367
Bi 0.2064 0.2064 0.0000
Bi 0.2936 0.2936 0.5000
Bi 0.7064 0.7064 0.5000
Bi 0.7936 0.7936 0.0000

Results
E (eV/atom): -5.4377
Symmetry: Cmce, No. 64